No. 1
VASP calculation (GGA-PBE) on crystalline TaCoSe at its relaxed geometry.

## Properties
Energy relative to the elements, uncorrected: -6.148 kcal/mol of atoms

Lattice parameters (Å, degrees): 5.8767 3.4919 9.4394 90.00 95.78 90.00
With the nearest neighbours (Å) after each atom.
Fractional positions:
Se (0.1367, 0.5000, 0.1533)  2 Co 2.32
Se (0.8633, 0.0000, 0.3467)  2 Co 2.32
Se (0.8633, 0.5000, 0.8467)  2 Co 2.32
Se (0.1367, 0.0000, 0.6533)  2 Co 2.32
Ta (0.6515, 0.0000, 0.6443)  5 Co 2.56-2.71, 3 Se 2.79-2.84
Ta (0.6515, 0.5000, 0.1443)  5 Co 2.56-2.71, 3 Se 2.79-2.84
Ta (0.3485, 0.5000, 0.8557)  5 Co 2.56-2.71, 3 Se 2.79-2.84
Ta (0.3485, 0.0000, 0.3557)  5 Co 2.56-2.71, 3 Se 2.79-2.84
Co (0.6544, 0.5000, 0.4320)  2 Se 2.32, 1 Co 2.33, 2 Ta 2.56
Co (0.6544, 0.0000, 0.9320)  2 Se 2.32, 1 Co 2.33, 2 Ta 2.56
Co (0.3456, 0.5000, 0.5680)  2 Se 2.32, 1 Co 2.33, 2 Ta 2.56
Co (0.3456, 0.0000, 0.0680)  2 Se 2.32, 1 Co 2.33, 2 Ta 2.56


No. 2
VASP calculation (GGA-PBE) on crystalline TaCoSe at its relaxed geometry.

## Properties
Energy relative to the elements, uncorrected: -6.865 kcal/mol of atoms

Lattice parameters (Å, degrees): 4.5597 3.3112 6.4754 90.00 97.94 90.00
With the nearest neighbours (Å) after each atom.
Fractional positions:
Se (0.3213, 0.5000, 0.8080)  1 Co 2.28
Se (0.8585, 0.0000, 0.0194)  2 Co 2.42, 2 Ta 2.57-2.60
Co (0.9451, 0.5000, 0.2939)  2 Se 2.42, 2 Ta 2.49, 2 Co 2.59-2.64
Co (0.4902, 0.5000, 0.4924)  1 Se 2.28, 2 Ta 2.46
Ta (0.9518, 0.0000, 0.5824)  4 Co 2.49-2.68, 2 Se 2.65
Ta (0.3995, 0.0000, 0.2100)  2 Co 2.46, 2 Se 2.57-2.60


No. 3
VASP calculation (GGA-PBE) on crystalline TaCoSe3 at its relaxed geometry.

## Properties
Energy relative to the elements, uncorrected: 14.215 kcal/mol of atoms

Lattice parameters (Å, degrees): 4.5641 4.5641 4.5641 90.00 90.00 90.00
With the nearest neighbours (Å) after each atom.
Fractional positions:
Se (0.5000, 0.0000, 0.0000)  2 Co 2.28
Se (0.0000, 0.0000, 0.5000)  2 Co 2.28
Se (0.0000, 0.5000, 0.0000)  2 Co 2.28
Ta (0.5000, 0.5000, 0.5000)  12 Se 3.23
Co (0.0000, 0.0000, 0.0000)  6 Se 2.28


No. 4
VASP calculation (GGA-PBE) on crystalline TaCoSe at its relaxed geometry.

## Properties
Energy relative to the elements, uncorrected: -0.574 kcal/mol of atoms

Lattice parameters (Å, degrees): 3.3794 3.3794 5.2134 90.00 90.00 120.00
With the nearest neighbours (Å) after each atom.
Fractional positions:
Se (0.3333, 0.6667, 0.3334)  3 Ta 2.71, 3 Co 2.72
Ta (0.6667, 0.3333, 0.6956)  3 Co 2.42
Co (0.0000, 0.0000, 0.9710)  3 Ta 2.42